First-principles (GGA-PBE) data for a relaxed Li2MoBr crystal, as listed in Alexandria via LeMat-Bulk.

* E above lowest polymorph: 0.3483 eV/atom
* size of the total moment: 0.319 μB per formula unit

Unit cell a=3.0367 b=4.5705 c=4.7015 alpha=90.00 beta=90.00 gamma=90.00
Last column: nearest neighbours and their distance in Å.
Element x y z (fractional)
Li (0.0000, 0.0000, 0.0000)  4 Br 2.74, 6 Li 2.80-3.04
Li (0.5000, 0.0000, 0.5000)  4 Mo 2.74, 6 Li 2.80-3.04
Mo (0.0000, 0.5000, 0.5000)  4 Li 2.74, 4 Br 2.80, 2 Mo 3.04
Br (0.5000, 0.5000, 0.0000)  4 Li 2.74, 4 Mo 2.80, 2 Br 3.04